Entry 1:
LiPuCuO4: relaxed, GGA-PBE.

Cell: 6.2419 6.2419 6.2419 Å, 119.59 110.36 99.10°
Fractional positions:
Li: 0.3606 0.1106 0.2500
Li: 0.6394 0.8894 0.7500
Pu: 0.0000 0.5000 0.5000
Pu: 0.5000 0.5000 0.0000
Cu: 0.0000 0.0000 0.5000
Cu: 0.0000 0.5000 0.0000
O: 0.2313 0.2579 0.5266
O: 0.2313 0.7048 0.9734
O: 0.2589 0.7327 0.5262
O: 0.2934 0.2673 0.0262
O: 0.7066 0.7327 0.9738
O: 0.7411 0.2673 0.4738
O: 0.7687 0.2952 0.0266
O: 0.7687 0.7421 0.4734

## Properties
- SG = Imma, No. 74
- E_form (uncorrected) (eV/atom) = -1.991

=====

Entry 2:
Li2PuCu2O6: relaxed, GGA-PBE.

Cell: 5.2304 5.2304 5.1071 Å, 90.00 90.00 120.00°
Fractional positions:
Li: 0.3333 0.6667 0.0000
Li: 0.6667 0.3333 0.0000
Pu: 0.0000 0.0000 0.5000
Cu: 0.3333 0.6667 0.5000
Cu: 0.6667 0.3333 0.5000
O: 0.0000 0.3364 0.7279
O: 0.0000 0.6636 0.2721
O: 0.3364 0.0000 0.7279
O: 0.3364 0.3364 0.2721
O: 0.6636 0.0000 0.2721
O: 0.6636 0.6636 0.7279

## Properties
- SG = P-31m, No. 162
- E_form (uncorrected) (eV/atom) = -1.607